The following is a SCAN calculation of a crystal of SrTiNbF2 relaxed with PBEsol, from Alexandria via LeMat-Bulk.

abc: 4.367 4.367 5.032
angles: 90.00 90.00 90.00
Fractional coordinates of all 5 atoms:
Sr: 0.000 0.000 0.000
Ti: 0.500 0.500 0.000
Nb: 0.500 0.500 0.500
F: 0.000 0.500 0.500
F: 0.500 0.000 0.500

* E_tot: -16.530 eV per atom
* theoretical density: 4.61 g/cm3
* formation energy (no corrections): -827 meV per atom
* symmetry: No. 123
* M_tot: 2.07 μB/f.u.